K2TbV3F12 after structural relaxation, computed with PBE with a Hubbard U.

Unit cell a=7.687 b=7.687 c=7.687 alpha=59.57 beta=59.57 gamma=59.57
Fractional positions:
F1 0.092 0.686 0.686
F2 0.346 0.915 0.915
F3 0.908 0.314 0.314
F4 0.915 0.915 0.346
F5 0.686 0.686 0.092
F6 0.686 0.092 0.686
F7 0.915 0.346 0.915
F8 0.085 0.654 0.085
F9 0.314 0.908 0.314
F10 0.654 0.085 0.085
F11 0.085 0.085 0.654
F12 0.314 0.314 0.908
V1 0.500 0.000 0.000
V2 0.000 0.500 0.000
V3 0.000 0.000 0.500
Tb1 0.000 0.000 0.000
K1 0.599 0.599 0.599
K2 0.401 0.401 0.401

Computed properties:
Uncorrected energy (eV/f.u.): -106.61
Size of the total moment (μB/f.u.): 8.0
Crystal system: trigonal